a | # PrIn4Sn

A relaxed structure of PrIn4Sn (GGA-PBE, the Alexandria database).

a = 13.8323 Å, b = 13.8323 Å, c = 13.8323 Å
α = 90.00°, β = 90.00°, γ = 90.00°
Closest atoms and distances in Å follow each position.
Space group F-43m (No. 216)
Unique sites:
Pr1 0.0000 0.0000 0.0000 x4  4 In 3.17
In1 0.1321 0.1321 0.1321 x16  1 Sn 2.82
Sn1 0.2500 0.2500 0.2500 x4  4 In 2.82

b | # PrIn4Sn

A relaxed structure of PrIn4Sn (GGA-PBE, the Alexandria database).

a = 8.6796 Å, b = 8.6796 Å, c = 8.6796 Å
α = 90.00°, β = 90.00°, γ = 90.00°
Closest atoms and distances in Å follow each position.
Space group F-43m (No. 216)
Unique sites:
Pr1 0.0000 0.0000 0.0000 x4  12 In 3.60, 4 Sn 3.76
In1 0.1248 0.1248 0.3752 x16  6 In 3.06-3.07
Sn1 0.2500 0.2500 0.7500 x4  12 In 3.60, 4 Pr 3.76

Which is most stable, and by how much? b, by 0.958 eV/atom.

a | # TbPrInSn

A relaxed structure of TbPrInSn (GGA-PBE, the Alexandria database).

a = 7.6978 Å, b = 7.6978 Å, c = 7.6978 Å
α = 90.00°, β = 90.00°, γ = 90.00°
Closest atoms and distances in Å follow each position.
Space group F-43m (No. 216)
Unique sites:
Tb1 0.0000 0.0000 0.0000 x4  4 Sn 3.33, 4 In 3.33
Pr1 0.0000 0.0000 0.5000 x4  4 In 3.33, 4 Sn 3.33
In1 0.2500 0.2500 0.2500 x4  4 Tb 3.33, 4 Pr 3.33
Sn1 0.2500 0.2500 0.7500 x4  4 Tb 3.33, 4 Pr 3.33

b | # TbPrInSn

A relaxed structure of TbPrInSn (GGA-PBE, the Alexandria database).

a = 4.3899 Å, b = 4.6521 Å, c = 11.6976 Å
α = 90.00°, β = 90.00°, γ = 90.00°
Closest atoms and distances in Å follow each position.
Space group Amm2 (No. 38)
Unique sites:
Tb1 0.0000 0.0000 0.0000 x2  4 Sn 3.25, 3 In 3.26-3.48
Pr1 0.5000 0.0000 0.2741 x2  3 Sn 3.23-3.50, 4 In 3.26
In1 0.0000 0.0000 0.7213 x2  2 Sn 2.97, 4 Pr 3.26, 1 Tb 3.26
Sn1 0.5000 0.0000 0.5505 x2  2 In 2.97, 1 Pr 3.23, 4 Tb 3.25

Which is most stable, and by how much? b, by 0.101 eV/atom.